(1)
Compound: Nd3ErTm3Te8
Source: Alexandria via LeMat-Bulk
Functional: GGA-PBE
Structure: optimized geometry

a b c (Å): 8.800 8.800 8.800
angles (deg): 59.47 59.47 59.47
Atoms (fractional coordinates):
Nd: 0.000 0.500 0.500
Nd: 0.500 0.000 0.500
Nd: 0.500 0.500 0.000
Er: 0.500 0.500 0.500
Tm: 0.000 0.000 0.500
Tm: 0.000 0.500 0.000
Tm: 0.500 0.000 0.000
Te: 0.238 0.752 0.752
Te: 0.245 0.245 0.245
Te: 0.248 0.248 0.762
Te: 0.248 0.762 0.248
Te: 0.752 0.238 0.752
Te: 0.752 0.752 0.238
Te: 0.755 0.755 0.755
Te: 0.762 0.248 0.248


(2)
Compound: Ba2CePt
Source: Alexandria via LeMat-Bulk
Functional: GGA-PBE
Structure: optimized geometry

Calculated values
The calculation puts the formation energy from the elements at 5 meV/atom.

a b c (Å): 11.878 11.878 11.878
angles (deg): 20.27 20.27 20.27
Atoms (fractional coordinates):
Ba: 0.111 0.111 0.111
Ba: 0.889 0.889 0.889
Ce: 0.000 0.000 0.000
Pt: 0.500 0.500 0.500


(3)
Compound: LiNi2Br
Source: Alexandria via LeMat-Bulk
Functional: GGA-PBE
Structure: optimized geometry

a b c (Å): 4.293 4.293 4.293
angles (deg): 60.00 60.00 60.00
Atoms (fractional coordinates):
Li: 0.000 0.000 0.000
Ni: 0.250 0.250 0.250
Ni: 0.500 0.500 0.500
Br: 0.750 0.750 0.750


Number 1: VASP energy -5.19 eV per atom, N(E_F) 6.79 states/eV/cell. Number 2: VASP energy -3.95 eV per atom, N(E_F) 10.07 states/eV/cell. Number 3: VASP energy -3.46 eV per atom, N(E_F) 7.66 states/eV/cell.